The following is a DFT calculation (SCAN) of Tc2NiF at its PBEsol-relaxed geometry.

Lattice parameters (Å, degrees): 4.0427 4.0427 4.0427 60.00 60.00 60.00
Last column: nearest neighbours and their distance in Å.
Positions (direct):
Ni: 0.5000 0.5000 0.5000  8 Tc 2.48
Tc: 0.2500 0.2500 0.2500  4 Ni 2.48, 4 F 2.48
Tc: 0.7500 0.7500 0.7500  4 F 2.48, 4 Ni 2.48
F: 0.0000 0.0000 0.0000  8 Tc 2.48

Values from the calculation:
size of the total moment	0.00	μB/f.u.
uncorrected energy	-89.10	eV for the cell shown
raw formation energy	0.18	eV per atom

The following is a DFT calculation (SCAN) of Cd3NiSb at its PBEsol-relaxed geometry.

Lattice parameters (Å, degrees): 5.4695 5.4695 5.4695 90.00 90.00 90.00
Last column: nearest neighbours and their distance in Å.
Positions (direct):
Sb: 0.0000 0.0000 0.0000  6 Cd 2.73
Ni: 0.5000 0.5000 0.5000  12 Cd 3.87
Cd: 0.0000 0.5000 0.0000  2 Sb 2.73
Cd: 0.0000 0.0000 0.5000  2 Sb 2.73
Cd: 0.5000 0.0000 0.0000  2 Sb 2.73

Values from the calculation:
size of the total moment	1.45	μB/f.u.
uncorrected energy	-139.73	eV for the cell shown
raw formation energy	0.99	eV per atom

The following is a DFT calculation (SCAN) of InAs4Cl at its PBEsol-relaxed geometry.

Lattice parameters (Å, degrees): 5.9429 5.9429 5.9429 60.00 60.00 60.00
Last column: nearest neighbours and their distance in Å.
Positions (direct):
As: 0.3966 0.3966 0.3966  3 As 2.46
As: 0.3966 0.3966 0.8103  3 As 2.46
As: 0.8103 0.3966 0.3966  3 As 2.46
As: 0.3966 0.8103 0.3966  3 As 2.46
Cl: 0.7500 0.7500 0.7500  12 As 3.44, 4 In 3.64
In: 0.0000 0.0000 0.0000  12 As 3.55, 4 Cl 3.64

Values from the calculation:
size of the total moment	0.00	μB/f.u.
uncorrected energy	-122.38	eV for the cell shown
raw formation energy	-0.04	eV per atom

The following is a DFT calculation (SCAN) of Na3BeTc at its PBEsol-relaxed geometry.

Lattice parameters (Å, degrees): 5.1112 5.1112 5.1112 90.00 90.00 90.00
Last column: nearest neighbours and their distance in Å.
Positions (direct):
Na: 0.0000 0.5000 0.0000  2 Be 2.56
Na: 0.0000 0.0000 0.5000  2 Be 2.56
Na: 0.5000 0.0000 0.0000  2 Be 2.56
Tc: 0.5000 0.5000 0.5000  12 Na 3.61
Be: 0.0000 0.0000 0.0000  6 Na 2.56

Values from the calculation:
size of the total moment	3.86	μB/f.u.
energy of formation	7.27	eV per formula unit
uncorrected energy	-44.79	eV for the cell shown

The following is a DFT calculation (SCAN) of SrCaP at its PBEsol-relaxed geometry.

Lattice parameters (Å, degrees): 4.9413 4.9413 4.9413 60.00 60.00 60.00
Last column: nearest neighbours and their distance in Å.
Positions (direct):
Sr: 0.0000 0.0000 0.0000  4 P 3.03
Ca: 0.5000 0.5000 0.5000  4 P 3.03
P: 0.2500 0.2500 0.2500  4 Ca 3.03, 4 Sr 3.03

Values from the calculation:
size of the total moment	0.05	μB/f.u.
energy of formation	-2.95	eV per formula unit
uncorrected energy	-45.29	eV for the cell shown

The following is a DFT calculation (SCAN) of InSbW at its PBEsol-relaxed geometry.

Lattice parameters (Å, degrees): 4.5905 4.5905 4.5905 60.00 60.00 60.00
Last column: nearest neighbours and their distance in Å.
Positions (direct):
In: 0.0000 0.0000 0.0000  4 W 2.81
Sb: 0.5000 0.5000 0.5000  4 W 2.81
W: 0.7500 0.7500 0.7500  4 Sb 2.81, 4 In 2.81

Values from the calculation:
size of the total moment	1.17	μB/f.u.
offset from the most stable computed form	1.58	kcal/mol of atoms
uncorrected energy	-137.77	eV for the cell shown
raw formation energy	0.85	eV per atom

What is the formula in the first record? Tc2NiF

Among the records above, which one has the lowest uncorrected energy? Cd3NiSb

The highest uncorrected energy belongs to which entry? Na3BeTc

size of the total moment of number 6 (InSbW)? 1.17 μB/f.u.